(1)
This record from Alexandria describes a relaxed Pr3NbCl6O4 crystal. The functional is GGA-PBEsol.

Electronic total energy (eV/cell): -192.21
Crystal system: hexagonal
Size of the total moment (μB per cell): 0.00
Density (Mg/m³): 4.79
Energy relative to the elements, uncorrected (kcal/mol of atoms): -60.429
Space-group type: P6_3/m, No. 176

Lattice parameters (Å, degrees): 3.969 12.648 12.648 120.00 90.00 90.00
Fractional coordinates of all 28 atoms:
Nb  0.750  0.667  0.333
Cl  0.250  0.628  0.556
Cl  0.750  0.246  0.100
Pr  0.250  0.719  0.113
O  0.750  0.802  0.495
O  0.250  0.667  0.333
O  0.750  0.693  0.198
O  0.250  0.198  0.505
Cl  0.750  0.556  0.928
Cl  0.250  0.100  0.854
Cl  0.750  0.854  0.754
Cl  0.250  0.444  0.072
Pr  0.250  0.887  0.606
Cl  0.750  0.900  0.146
O  0.750  0.505  0.307
Pr  0.750  0.113  0.394
O  0.250  0.307  0.802
Cl  0.750  0.072  0.628
Pr  0.750  0.606  0.719
Cl  0.250  0.928  0.372
O  0.750  0.333  0.667
Pr  0.750  0.281  0.887
Cl  0.250  0.754  0.900
Cl  0.750  0.372  0.444
Cl  0.250  0.146  0.246
O  0.250  0.495  0.693
Nb  0.250  0.333  0.667
Pr  0.250  0.394  0.281


(2)
This record from Alexandria describes a relaxed Rb2Nb3Cl7O5 crystal. The functional is GGA-PBEsol.

Electronic total energy (eV/cell): -217.13
Crystal system: monoclinic
Size of the total moment (μB per cell): 0.00
Density (Mg/m³): 3.30
Energy relative to the elements, uncorrected (kcal/mol of atoms): -45.783
Space-group type: C2/c, No. 15

Lattice parameters (Å, degrees): 8.951 9.555 11.147 108.87 90.00 117.93
Fractional coordinates of all 34 atoms:
Cl  0.364  0.310  0.544
O  0.398  0.002  0.375
Cl  0.361  0.303  0.125
Cl  0.058  0.697  0.375
Cl  0.942  0.303  0.625
Cl  0.721  0.303  0.334
Rb  0.156  0.398  0.355
O  0.000  0.000  0.000
Cl  0.910  0.000  0.750
O  0.000  0.000  0.500
Cl  0.090  0.000  0.250
O  0.602  0.998  0.625
O  0.711  0.997  0.376
Cl  0.636  0.690  0.456
Rb  0.844  0.602  0.645
Nb  0.538  0.000  0.250
Rb  0.243  0.398  0.855
Cl  0.582  0.303  0.834
O  0.396  0.998  0.125
Cl  0.053  0.690  0.956
Nb  0.215  0.005  0.474
O  0.714  0.003  0.124
Cl  0.418  0.697  0.166
O  0.289  0.003  0.624
Cl  0.947  0.310  0.044
Nb  0.462  0.000  0.750
Nb  0.210  0.995  0.026
Cl  0.279  0.697  0.666
Cl  0.639  0.697  0.875
Nb  0.790  0.005  0.974
O  0.286  0.997  0.876
O  0.604  0.002  0.875
Nb  0.785  0.995  0.526
Rb  0.757  0.602  0.145


(3)
This record from Alexandria describes a relaxed NbTlCl4O crystal. The functional is GGA-PBEsol.

Electronic total energy (eV/cell): -294.43
Crystal system: orthorhombic
Size of the total moment (μB per cell): 0.00
Density (Mg/m³): 4.03
Energy relative to the elements, uncorrected (kcal/mol of atoms): -33.180
Space-group type: Pbca, No. 61

Lattice parameters (Å, degrees): 7.945 12.820 14.745 90.00 90.00 90.00
Fractional coordinates of all 56 atoms:
Cl  0.167  0.574  0.341
Cl  0.833  0.926  0.841
Cl  0.153  0.314  0.253
Tl  0.490  0.886  0.148
O  0.079  0.751  0.897
Nb  0.305  0.747  0.898
O  0.921  0.749  0.397
O  0.421  0.751  0.397
Cl  0.159  0.184  0.951
O  0.421  0.251  0.103
O  0.579  0.749  0.897
Cl  0.347  0.314  0.753
Cl  0.333  0.574  0.841
Cl  0.167  0.074  0.159
Cl  0.336  0.422  0.545
Cl  0.341  0.184  0.451
Cl  0.336  0.922  0.955
Tl  0.490  0.386  0.352
Nb  0.805  0.753  0.898
Nb  0.695  0.253  0.102
Cl  0.847  0.186  0.753
Nb  0.695  0.753  0.398
Cl  0.833  0.426  0.659
Cl  0.653  0.686  0.247
O  0.579  0.249  0.603
Cl  0.836  0.078  0.545
Cl  0.667  0.426  0.159
Cl  0.164  0.922  0.455
O  0.921  0.249  0.103
Cl  0.836  0.578  0.955
Nb  0.195  0.247  0.102
Cl  0.847  0.686  0.747
Nb  0.805  0.253  0.602
Cl  0.333  0.074  0.659
Nb  0.195  0.747  0.398
Tl  0.990  0.614  0.148
Cl  0.659  0.316  0.951
Cl  0.667  0.926  0.341
Cl  0.664  0.578  0.455
Tl  0.010  0.386  0.852
O  0.079  0.251  0.603
Cl  0.664  0.078  0.045
Cl  0.841  0.816  0.049
Tl  0.010  0.886  0.648
Cl  0.164  0.422  0.045
Cl  0.841  0.316  0.451
Tl  0.990  0.114  0.352
Cl  0.153  0.814  0.247
Tl  0.510  0.614  0.648
Cl  0.341  0.684  0.049
Tl  0.510  0.114  0.852
Cl  0.347  0.814  0.747
Nb  0.305  0.247  0.602
Cl  0.159  0.684  0.549
Cl  0.653  0.186  0.253
Cl  0.659  0.816  0.549


(4)
This record from Alexandria describes a relaxed Nb2OsRhCl crystal. The functional is GGA-PBEsol.

Electronic total energy (eV/cell): -37.64
Crystal system: tetragonal
Size of the total moment (μB per cell): 0.00
Density (Mg/m³): 7.77
Energy relative to the elements, uncorrected (kcal/mol of atoms): 29.360
Space-group type: P4/mmm, No. 123

Lattice parameters (Å, degrees): 4.663 4.855 4.855 90.00 90.00 90.00
Fractional coordinates of all 5 atoms:
Cl  0.500  0.500  0.500
Nb  0.000  0.000  0.500
Os  0.000  0.000  0.000
Nb  0.000  0.500  0.000
Rh  0.500  0.000  0.000